No. 1
This record from Alexandria via LeMat-Bulk describes a relaxed Gd2DyMg crystal. The functional is PBE-GGA.

a = 5.5168 Å, b = 5.5168 Å, c = 5.5168 Å
α = 60.00°, β = 60.00°, γ = 60.00°
Closest atoms and distances in Å follow each position.
Fractional positions:
Gd 0.2500 0.2500 0.2500  4 Mg 3.38, 4 Dy 3.38
Gd 0.7500 0.7500 0.7500  4 Dy 3.38, 4 Mg 3.38
Dy 0.0000 0.0000 0.0000  8 Gd 3.38
Mg 0.5000 0.5000 0.5000  8 Gd 3.38

Calculated values
Distance to the lowest polymorph of the same formula, meV/atom: 60
V, Å³ per cell: 119
DOS(E_F), states/eV/f.u.: 4.239
Spin magnetization, Bohr magnetons per cell: 14.99
Energy, eV/atom: -8.56

***

No. 2
This record from Alexandria via LeMat-Bulk describes a relaxed GdDyMg2 crystal. The functional is PBE-GGA.

a = 5.3777 Å, b = 5.3777 Å, c = 3.8088 Å
α = 90.00°, β = 90.00°, γ = 90.00°
Closest atoms and distances in Å follow each position.
Fractional positions:
Gd 0.0000 0.0000 0.0000  8 Mg 3.29
Dy 0.5000 0.5000 0.0000  8 Mg 3.29
Mg 0.0000 0.5000 0.5000  4 Gd 3.29, 4 Dy 3.29
Mg 0.5000 0.0000 0.5000  4 Gd 3.29, 4 Dy 3.29

Calculated values
Distance to the lowest polymorph of the same formula, meV/atom: 0
V, Å³ per cell: 110
DOS(E_F), states/eV/f.u.: 4.176
Spin magnetization, Bohr magnetons per cell: 8.02
Energy, eV/atom: -5.57

***

No. 3
This record from Alexandria via LeMat-Bulk describes a relaxed GdDyMg crystal. The functional is PBE-GGA.

a = 7.0018 Å, b = 7.0018 Å, c = 7.0018 Å
α = 149.59°, β = 149.59°, γ = 43.54°
Closest atoms and distances in Å follow each position.
Fractional positions:
Gd 0.0000 0.0000 0.0000  4 Mg 3.35, 4 Dy 3.50, 4 Gd 3.67
Dy 0.6805 0.6805 0.0000  4 Mg 3.31, 4 Gd 3.50, 4 Dy 3.67
Mg 0.3378 0.3378 0.0000  4 Dy 3.31, 4 Gd 3.35, 4 Mg 3.67

Calculated values
Distance to the lowest polymorph of the same formula, meV/atom: 0
V, Å³ per cell: 88
DOS(E_F), states/eV/f.u.: 3.501
Spin magnetization, Bohr magnetons per cell: 7.73
Energy, eV/atom: -6.81

***

No. 4
This record from Alexandria via LeMat-Bulk describes a relaxed Gd2DyMg crystal. The functional is PBE-GGA.

a = 4.9682 Å, b = 4.9682 Å, c = 4.8780 Å
α = 90.00°, β = 90.00°, γ = 90.00°
Closest atoms and distances in Å follow each position.
Fractional positions:
Gd 0.0000 0.5000 0.0000  4 Dy 3.48, 4 Mg 3.48, 4 Gd 3.51
Gd 0.5000 0.0000 0.0000  4 Dy 3.48, 4 Mg 3.48, 4 Gd 3.51
Dy 0.0000 0.0000 0.5000  8 Gd 3.48, 4 Mg 3.51
Mg 0.5000 0.5000 0.5000  8 Gd 3.48, 4 Dy 3.51

Calculated values
Distance to the lowest polymorph of the same formula, meV/atom: 32
V, Å³ per cell: 120
DOS(E_F), states/eV/f.u.: 5.169
Spin magnetization, Bohr magnetons per cell: 15.81
Energy, eV/atom: -8.59